9
Lattice="-2.329 1.407 -4.266 -3.106 -3.309 -2.590 -4.331 2.001 3.198" Properties=species:S:1:pos:R:3 comment="BaVCrO6 PBE with a Hubbard U relaxed" energy_ev_per_atom=-7.119 spacegroup="P1 (1)" magmom_total_mub_per_atom=0.111 pbc="T T T"
Ba -7.403 -1.294 0.603
V -5.644 -0.375 -3.125
Cr -4.125 0.487 -0.580
O -2.598 -0.682 -0.105
O -3.919 1.899 0.514
O -5.598 0.874 -1.375
O -7.154 0.834 -3.503
O -4.170 -0.844 -2.269
O -5.890 -1.811 -4.180